(1)
This record from Alexandria via LeMat-Bulk describes a relaxed structure of HfI2O. The functional is PBE-GGA.

Cell: 6.812 6.812 6.690 Å, 59.40 59.40 90.00°
Atoms (fractional coordinates):
I1 0.144 0.625 0.250
I2 0.375 0.394 0.750
I3 0.606 0.125 0.250
Hf1 0.000 0.000 0.000
I4 0.875 0.856 0.750
O1 0.500 0.500 0.000
Hf2 0.750 0.250 0.500
O2 0.250 0.750 0.500

Summary:
The uncorrected energy is -4.306 eV/atom. As for the formation energy without anion corrections: 19 kJ per mole of atoms.

(2)
This record from Alexandria via LeMat-Bulk describes a relaxed structure of CsLiDy2S4. The functional is PBE-GGA.

Cell: 4.083 7.244 14.130 Å, 90.00 90.00 106.37°
Atoms (fractional coordinates):
S1 0.000 0.000 0.500
Dy1 0.366 0.731 0.940
Dy2 0.634 0.269 0.440
S2 0.000 0.000 0.000
S3 0.743 0.487 0.602
S4 0.410 0.821 0.750
Dy3 0.634 0.269 0.060
Dy4 0.366 0.731 0.560
Li1 0.175 0.350 0.250
Cs1 0.105 0.210 0.750
S5 0.257 0.513 0.102
Li2 0.825 0.650 0.750
Cs2 0.895 0.790 0.250
S6 0.590 0.179 0.250
S7 0.743 0.487 0.898
S8 0.257 0.513 0.398

Summary:
The uncorrected energy is -5.393 eV/atom. As for the formation energy without anion corrections: -177 kJ per mole of atoms.

(3)
This record from Alexandria via LeMat-Bulk describes a relaxed structure of Sr2PaAgO6. The functional is PBE-GGA.

Cell: 5.665 5.771 6.477 Å, 116.46 117.12 90.00°
Atoms (fractional coordinates):
O1 0.190 0.686 0.853
Ag1 0.500 0.000 0.000
Pa1 0.000 0.500 0.000
Sr1 0.214 0.252 0.503
O2 0.190 0.167 0.853
O3 0.311 0.696 0.392
O4 0.810 0.314 0.147
O5 0.689 0.304 0.608
Sr2 0.786 0.748 0.497
O6 0.810 0.833 0.147

Summary:
The uncorrected energy is -7.017 eV/atom. As for the formation energy without anion corrections: -238 kJ per mole of atoms.